Dy3TeCSe after structural relaxation. Source: Alexandria via LeMat-Bulk, functional PBE.

```
data_Dy3TeCSe
_chemical_formula_sum 'Dy6 Te2 C2 Se2'
_space_group_name_H-M_alt 'P 1'
_space_group_IT_number 1
_space_group_name_Hall 'P 1'
_cell_length_a 3.7855
_cell_length_b 8.0811
_cell_length_c 10.6747
_cell_angle_alpha 101.77
_cell_angle_beta 90.00
_cell_angle_gamma 90.00
loop_
_atom_site_label
_atom_site_fract_x
_atom_site_fract_y
_atom_site_fract_z
Dy1 0.7500 0.8534 0.1051
Dy2 0.2500 0.8481 0.5712
Dy3 0.7500 0.1519 0.4288
Dy4 0.7500 0.4755 0.1293
Se1 0.2500 0.2035 0.6254
Te1 0.7500 0.8183 0.7955
Dy5 0.2500 0.1466 0.8949
Te2 0.2500 0.1817 0.2045
Se2 0.7500 0.7965 0.3746
C1 0.7500 0.3382 0.9170
C2 0.2500 0.6618 0.0830
Dy6 0.2500 0.5245 0.8707
```

Values from the calculation:
magnetization	0.0	μB/f.u.
energy	-70.7	eV for the cell shown
mass density	7.34	g cm⁻³
N(E_F)	3.28	states/eV/f.u.
crystal system	monoclinic


LiTcO2 after structural relaxation. Source: Alexandria via LeMat-Bulk, functional PBE.

```
data_LiTcO2
_chemical_formula_sum 'Li1 Tc1 O2'
_space_group_name_H-M_alt 'P 1'
_space_group_IT_number 1
_space_group_name_Hall 'P 1'
_cell_length_a 6.3994
_cell_length_b 6.3994
_cell_length_c 6.3994
_cell_angle_alpha 25.22
_cell_angle_beta 25.22
_cell_angle_gamma 25.22
loop_
_atom_site_label
_atom_site_fract_x
_atom_site_fract_y
_atom_site_fract_z
O1 0.0943 0.0943 0.0943
Tc1 0.5000 0.5000 0.5000
O2 0.9057 0.9057 0.9057
Li1 0.0000 0.0000 0.0000
```

Values from the calculation:
magnetization	0.0	μB/f.u.
mass density	5.43	g cm⁻³
N(E_F)	1.16	states/eV/f.u.
crystal system	trigonal
ΔE to the lowest computed polymorph	0.169	eV per atom


Cd2ReSi after structural relaxation. Source: Alexandria via LeMat-Bulk, functional PBE.

```
data_Cd2ReSi
_chemical_formula_sum 'Cd2 Re1 Si1'
_space_group_name_H-M_alt 'P 1'
_space_group_IT_number 1
_space_group_name_Hall 'P 1'
_cell_length_a 3.9707
_cell_length_b 2.8582
_cell_length_c 6.9204
_cell_angle_alpha 90.02
_cell_angle_beta 90.00
_cell_angle_gamma 90.00
loop_
_atom_site_label
_atom_site_fract_x
_atom_site_fract_y
_atom_site_fract_z
Si1 0.5000 0.8751 0.6279
Cd1 0.0000 0.8756 0.9887
Re1 0.0000 0.3750 0.6225
Cd2 0.5000 0.3744 0.2609
```

Values from the calculation:
magnetization	0.0	μB/f.u.
energy	-18.8	eV for the cell shown
mass density	9.28	g cm⁻³
N(E_F)	1.73	states/eV/f.u.
crystal system	orthorhombic


LaHf2InMo after structural relaxation. Source: Alexandria via LeMat-Bulk, functional PBE.

```
data_LaHf2InMo
_chemical_formula_sum 'La1 Hf2 In1 Mo1'
_space_group_name_H-M_alt 'P 1'
_space_group_IT_number 1
_space_group_name_Hall 'P 1'
_cell_length_a 5.2228
_cell_length_b 5.8322
_cell_length_c 5.2228
_cell_angle_alpha 90.00
_cell_angle_beta 90.00
_cell_angle_gamma 90.00
loop_
_atom_site_label
_atom_site_fract_x
_atom_site_fract_y
_atom_site_fract_z
Hf1 0.0000 0.0000 0.5000
La1 0.0000 0.5000 0.0000
In1 0.0000 0.0000 0.0000
Hf2 0.5000 0.0000 0.0000
Mo1 0.5000 0.5000 0.5000
```

Values from the calculation:
ΔE_f	1.582	eV per atom
magnetization	2.7	μB/f.u.
mass density	7.38	g cm⁻³
N(E_F)	8.36	states/eV/f.u.
crystal system	tetragonal
ΔE to the lowest computed polymorph	1.253	eV per atom


ReSiBr after structural relaxation. Source: Alexandria via LeMat-Bulk, functional PBE.

```
data_ReSiBr
_chemical_formula_sum 'Re1 Si1 Br1'
_space_group_name_H-M_alt 'P 1'
_space_group_IT_number 1
_space_group_name_Hall 'P 1'
_cell_length_a 4.2855
_cell_length_b 4.2855
_cell_length_c 4.2855
_cell_angle_alpha 60.00
_cell_angle_beta 60.00
_cell_angle_gamma 60.00
loop_
_atom_site_label
_atom_site_fract_x
_atom_site_fract_y
_atom_site_fract_z
Br1 0.0000 0.0000 0.0000
Si1 0.7500 0.7500 0.7500
Re1 0.5000 0.5000 0.5000
```

Values from the calculation:
magnetization	0.0	μB/f.u.
mass density	8.78	g cm⁻³
N(E_F)	3.47	states/eV/f.u.
crystal system	cubic
ΔE to the lowest computed polymorph	0.982	eV per atom


SrCa2Au3 after structural relaxation. Source: Alexandria via LeMat-Bulk, functional PBE.

```
data_SrCa2Au3
_chemical_formula_sum 'Sr1 Ca2 Au3'
_space_group_name_H-M_alt 'P 1'
_space_group_IT_number 1
_space_group_name_Hall 'P 1'
_cell_length_a 3.7291
_cell_length_b 5.2463
_cell_length_c 8.2489
_cell_angle_alpha 108.54
_cell_angle_beta 90.00
_cell_angle_gamma 90.00
loop_
_atom_site_label
_atom_site_fract_x
_atom_site_fract_y
_atom_site_fract_z
Au1 0.5000 0.5000 0.0000
Ca1 0.0000 0.3325 0.6649
Au2 0.5000 0.1744 0.3487
Sr1 0.0000 0.0000 0.0000
Ca2 0.0000 0.6675 0.3351
Au3 0.5000 0.8256 0.6513
```

Values from the calculation:
ΔE_f	-0.757	eV per atom
magnetization	0.0	μB/f.u.
mass density	8.23	g cm⁻³
N(E_F)	3.98	states/eV/f.u.
crystal system	orthorhombic
ΔE to the lowest computed polymorph	0.007	eV per atom


HgMoOs2 after structural relaxation. Source: Alexandria via LeMat-Bulk, functional PBE.

```
data_HgMoOs2
_chemical_formula_sum 'Hg1 Mo1 Os2'
_space_group_name_H-M_alt 'P 1'
_space_group_IT_number 1
_space_group_name_Hall 'P 1'
_cell_length_a 2.8840
_cell_length_b 4.8178
_cell_length_c 4.6625
_cell_angle_alpha 90.00
_cell_angle_beta 90.00
_cell_angle_gamma 90.00
loop_
_atom_site_label
_atom_site_fract_x
_atom_site_fract_y
_atom_site_fract_z
Mo1 0.0000 0.5000 0.5000
Os1 0.5000 0.5000 0.0000
Os2 0.0000 0.0000 0.0000
Hg1 0.5000 0.0000 0.5000
```

Values from the calculation:
ΔE_f	0.877	eV per atom
magnetization	0.0	μB/f.u.
mass density	17.35	g cm⁻³
N(E_F)	3.93	states/eV/f.u.
crystal system	orthorhombic


Y4In after structural relaxation. Source: Alexandria via LeMat-Bulk, functional PBE.

```
data_Y4In
_chemical_formula_sum 'Y8 In2'
_space_group_name_H-M_alt 'P 1'
_space_group_IT_number 1
_space_group_name_Hall 'P 1'
_cell_length_a 6.6506
_cell_length_b 6.6506
_cell_length_c 8.7597
_cell_angle_alpha 99.59
_cell_angle_beta 99.59
_cell_angle_gamma 124.12
loop_
_atom_site_label
_atom_site_fract_x
_atom_site_fract_y
_atom_site_fract_z
In1 0.5064 0.0064 0.5000
Y1 0.0484 0.9893 0.6016
Y2 0.8322 0.4293 0.3019
Y3 0.1273 0.5302 0.6981
Y4 0.6968 0.1377 0.8984
Y5 0.6793 0.5822 0.8019
Y6 0.2393 0.7984 0.1016
Y7 0.7802 0.8773 0.1981
Y8 0.3877 0.4468 0.3984
In2 0.2564 0.2564 0.0000
```

Values from the calculation:
ΔE_f	-0.142	eV per atom
magnetization	0.0	μB/f.u.
mass density	5.21	g cm⁻³
N(E_F)	5.82	states/eV/f.u.
crystal system	orthorhombic
ΔE to the lowest computed polymorph	0.054	eV per atom


Mg4Nb2Cd after structural relaxation. Source: Alexandria via LeMat-Bulk, functional PBE.

```
data_Mg4Nb2Cd
_chemical_formula_sum 'Mg4 Nb2 Cd1'
_space_group_name_H-M_alt 'P 1'
_space_group_IT_number 1
_space_group_name_Hall 'P 1'
_cell_length_a 5.3644
_cell_length_b 5.3644
_cell_length_c 7.8337
_cell_angle_alpha 69.98
_cell_angle_beta 69.98
_cell_angle_gamma 90.00
loop_
_atom_site_label
_atom_site_fract_x
_atom_site_fract_y
_atom_site_fract_z
Mg1 0.0000 0.5000 0.0000
Nb1 0.5821 0.5821 0.8359
Nb2 0.4179 0.4179 0.1641
Mg2 0.5000 0.0000 0.0000
Mg3 0.2018 0.2018 0.5964
Cd1 0.0000 0.0000 0.0000
Mg4 0.7982 0.7982 0.4036
```

Values from the calculation:
ΔE_f	0.820	eV per atom
magnetization	0.0	μB/f.u.
mass density	3.33	g cm⁻³
N(E_F)	4.70	states/eV/f.u.
crystal system	tetragonal


Ho2GaPt4 after structural relaxation. Source: Alexandria via LeMat-Bulk, functional PBE.

```
data_Ho2GaPt4
_chemical_formula_sum 'Ho2 Ga1 Pt4'
_space_group_name_H-M_alt 'P 1'
_space_group_IT_number 1
_space_group_name_Hall 'P 1'
_cell_length_a 4.6310
_cell_length_b 4.6310
_cell_length_c 7.9359
_cell_angle_alpha 106.96
_cell_angle_beta 106.96
_cell_angle_gamma 90.00
loop_
_atom_site_label
_atom_site_fract_x
_atom_site_fract_y
_atom_site_fract_z
Pt1 0.5000 0.0000 0.0000
Pt2 0.8278 0.8278 0.6556
Ho1 0.3599 0.3599 0.7198
Ho2 0.6401 0.6401 0.2802
Ga1 0.0000 0.0000 0.0000
Pt3 0.0000 0.5000 0.0000
Pt4 0.1722 0.1722 0.3444
```

Values from the calculation:
ΔE_f	-0.546	eV per atom
magnetization	0.0	μB/f.u.
mass density	12.64	g cm⁻³
N(E_F)	2.19	states/eV/f.u.
crystal system	tetragonal


TbNdSmHg after structural relaxation. Source: Alexandria via LeMat-Bulk, functional PBE.

```
data_TbNdSmHg
_chemical_formula_sum 'Tb1 Nd1 Sm1 Hg1'
_space_group_name_H-M_alt 'P 1'
_space_group_IT_number 1
_space_group_name_Hall 'P 1'
_cell_length_a 5.5066
_cell_length_b 5.5066
_cell_length_c 5.5066
_cell_angle_alpha 60.00
_cell_angle_beta 60.00
_cell_angle_gamma 60.00
loop_
_atom_site_label
_atom_site_fract_x
_atom_site_fract_y
_atom_site_fract_z
Nd1 0.5000 0.5000 0.5000
Tb1 0.7500 0.7500 0.7500
Sm1 0.0000 0.0000 0.0000
Hg1 0.2500 0.2500 0.2500
```

Values from the calculation:
ΔE_f	-0.068	eV per atom
magnetization	0.0	μB/f.u.
mass density	9.20	g cm⁻³
N(E_F)	5.32	states/eV/f.u.
crystal system	cubic
ΔE to the lowest computed polymorph	0.164	eV per atom


Cs2SnB2O6 after structural relaxation. Source: Alexandria via LeMat-Bulk, functional PBE.

```
data_Cs2SnB2O6
_chemical_formula_sum 'Cs2 Sn1 B2 O6'
_space_group_name_H-M_alt 'P 1'
_space_group_IT_number 1
_space_group_name_Hall 'P 1'
_cell_length_a 5.3026
_cell_length_b 5.3032
_cell_length_c 8.4242
_cell_angle_alpha 108.36
_cell_angle_beta 90.00
_cell_angle_gamma 120.00
loop_
_atom_site_label
_atom_site_fract_x
_atom_site_fract_y
_atom_site_fract_z
O1 0.1884 0.9236 0.6579
O2 0.2650 0.5301 0.3426
B1 0.8823 0.7646 0.6461
Sn1 0.5000 0.0000 0.5000
O3 0.7351 0.9236 0.6579
O4 0.2649 0.0764 0.3421
O5 0.8116 0.0764 0.3421
Cs1 0.2788 0.5576 0.8357
B2 0.1177 0.2354 0.3539
Cs2 0.7212 0.4424 0.1643
O6 0.7350 0.4699 0.6574
```

Values from the calculation:
magnetization	0.0	μB/f.u.
energy	-71.2	eV for the cell shown
mass density	4.36	g cm⁻³
N(E_F)	0.00	states/eV/f.u.
crystal system	trigonal